Compound: TaMnAl2
Source: Alexandria via LeMat-Bulk
Functional: PBE-GGA
Structure: optimized geometry

Symmetry: I-42d (122)
ΔE to the lowest computed polymorph: 529 meV/atom
D(E_F): 10.8 states/eV per cell
Magnetization: 1.04 μB/f.u.
Calculated formation energy: 0.313 eV/atom

Cell and atoms, written as POSCAR:
```
TaMnAl2
1.0
3.7100 0.0000 0.0000
0.0000 3.7100 0.0000
0.0000 0.0000 18.9547
Ta Mn Al
4 4 8
Direct
0.0000 0.0000 0.0000
0.0000 0.5000 0.2500
0.5000 0.0000 0.7500
0.5000 0.5000 0.5000
0.0000 0.0000 0.5000
0.0000 0.5000 0.7500
0.5000 0.0000 0.2500
0.5000 0.5000 0.0000
0.2433 0.2500 0.6250
0.2500 0.7433 0.8750
0.2500 0.7567 0.3750
0.2567 0.2500 0.1250
0.7433 0.7500 0.1250
0.7500 0.2433 0.3750
0.7500 0.2567 0.8750
0.7567 0.7500 0.6250
```